Below is an optimized crystal structure of Na4ThMo4O16, with properties calculated at the GGA+U level.

Results
- SG: I4_1/a (88)
- Mass density: 3.9 g cm⁻³
- DOS(E_F): 0.00 states/eV per cell
- Uncorrected energy: -6.85 eV per atom

a = 10.177 Å, b = 10.177 Å, c = 10.177 Å
α = 110.47°, β = 110.47°, γ = 107.48°
Sites, in units of the cell vectors:
Na1 0.036 0.687 0.910
Na2 0.187 0.776 0.651
Na3 0.276 0.126 0.590
Na4 0.374 0.464 0.151
Na5 0.626 0.536 0.849
Na6 0.724 0.874 0.410
Na7 0.813 0.224 0.349
Na8 0.964 0.313 0.090
Th1 0.375 0.125 0.250
Th2 0.625 0.875 0.750
Mo1 0.063 0.043 0.840
Mo2 0.277 0.437 0.480
Mo3 0.297 0.777 0.340
Mo4 0.457 0.797 0.020
Mo5 0.543 0.203 0.980
Mo6 0.703 0.223 0.660
Mo7 0.723 0.563 0.520
Mo8 0.937 0.957 0.160
O1 0.065 0.345 0.370
O2 0.111 0.245 0.950
O3 0.135 0.975 0.985
O4 0.154 0.075 0.301
O5 0.155 0.024 0.720
O6 0.196 0.565 0.220
O7 0.205 0.838 0.450
O8 0.255 0.705 0.867
O9 0.274 0.853 0.199
O10 0.338 0.389 0.633
O11 0.350 0.365 0.340
O12 0.353 0.654 0.579
O13 0.425 0.226 0.079
O14 0.475 0.991 0.840
O15 0.476 0.696 0.130
O16 0.491 0.150 0.515
O17 0.509 0.850 0.485
O18 0.524 0.304 0.870
O19 0.525 0.009 0.160
O20 0.575 0.774 0.921
O21 0.647 0.346 0.421
O22 0.650 0.635 0.660
O23 0.662 0.611 0.367
O24 0.726 0.147 0.801
O25 0.745 0.295 0.133
O26 0.795 0.162 0.550
O27 0.804 0.435 0.780
O28 0.845 0.976 0.280
O29 0.846 0.925 0.699
O30 0.865 0.025 0.015
O31 0.889 0.755 0.050
O32 0.935 0.655 0.630